! Sr2MnCuS (PBE, optimized geometry); values from VASP
! E_tot = -21.50 eV/cell
! uncorrected formation energy = -148 meV/atom
! density = 3.7 g/cm³
&SYSTEM
  ibrav = 0, nat = 5, ntyp = 4
/
ATOMIC_SPECIES
Sr 87.62 Sr.upf
Mn 54.94 Mn.upf
Cu 63.55 Cu.upf
S 32.06 S.upf
ATOMIC_POSITIONS crystal
Sr 0.000 0.500 0.000
Sr 0.500 0.000 0.000
Mn 0.000 0.000 0.500
Cu 0.500 0.500 0.500
S 0.500 0.500 0.000
CELL_PARAMETERS angstrom
5.791 0.000 0.000
0.000 5.791 0.000
0.000 0.000 4.375